{
  "formula": "RbHfSe2Br",
  "functional": "GGA-PBE",
  "state": "relaxed",
  "lattice_angstrom": [[5.6447, 0.0000, 0.0000], [0.0000, 5.6447, 0.0000], [0.0000, 0.0000, 5.6844]],
  "species": ["Rb", "Hf", "Se", "Se", "Br"],
  "frac_coords": [[0.0000, 0.0000, 0.0000], [0.5000, 0.5000, 0.5000], [0.0000, 0.5000, 0.0000], [0.5000, 0.0000, 0.0000], [0.0000, 0.0000, 0.5000]],
  "dos_at_fermi_per_ev_atom": 1.18,
  "polymorph_energy_ev_per_fu": 11.48,
  "e_form_raw_mev_per_atom": 1032
}